LiDy2Tc | PBE-GGA | relaxed

a = 6.9689 Å, b = 6.9689 Å, c = 6.9689 Å
α = 90.00°, β = 90.00°, γ = 90.00°
Last column: nearest neighbours and their distance in Å.
Space group Fm-3m (No. 225)
Asymmetric unit:
Li: 0.0000 0.0000 0.0000 (multiplicity 4)  8 Dy 3.02
Dy: 0.2500 0.2500 0.2500 (multiplicity 8)  4 Li 3.02, 4 Tc 3.02
Tc: 0.0000 0.0000 0.5000 (multiplicity 4)  8 Dy 3.02

- energy (eV/atom) = -5.41
- total moment (Bohr magnetons per cell) = 0.000
- crystal system = cubic
- DOS at the Fermi energy (states/eV per atom) = 0.9042
- energy of formation from the pure elements (eV per atom) = -0.03
- energy relative to the lowest polymorph listed for this composition (eV/atom) = 0.0048

=====

Sm4DyY5 | PBE-GGA | relaxed

a = 17.3627 Å, b = 3.5517 Å, c = 11.0779 Å
α = 90.00°, β = 90.09°, γ = 90.00°
Last column: nearest neighbours and their distance in Å.
Space group C2/m (No. 12)
Asymmetric unit:
Sm: 0.0284 0.0000 0.2491 (multiplicity 4)  4 Y 3.31-3.34, 2 Dy 3.32, 4 Sm 3.55-3.60
Sm: 0.1523 0.5000 0.7501 (multiplicity 4)  4 Sm 3.55-3.60, 7 Y 3.69-3.86, 1 Dy 3.83
Dy: 0.0000 0.5000 0.0000 (multiplicity 2)  4 Sm 3.32, 2 Dy 3.55, 4 Y 3.56
Y: 0.0000 0.5000 0.5000 (multiplicity 2)  4 Sm 3.34, 6 Y 3.55-3.57
Y: 0.1740 0.0000 0.0563 (multiplicity 4)  2 Sm 3.31-3.70, 4 Y 3.42-3.55, 2 Dy 3.56
Y: 0.1744 0.0000 0.4426 (multiplicity 4)  2 Sm 3.32-3.69, 6 Y 3.41-3.57

- energy (eV/atom) = -5.39
- total moment (Bohr magnetons per cell) = 0.000
- crystal system = monoclinic
- DOS at the Fermi energy (states/eV per atom) = 1.4345
- energy of formation from the pure elements (eV per atom) = 0.19
- energy relative to the lowest polymorph listed for this composition (eV/atom) = 0.0000

=====

BaP2SN | PBE-GGA | relaxed

a = 4.2840 Å, b = 4.2840 Å, c = 5.1933 Å
α = 90.00°, β = 90.00°, γ = 90.00°
Last column: nearest neighbours and their distance in Å.
Space group P4/mmm (No. 123)
Asymmetric unit:
Ba: 0.0000 0.0000 0.0000 (multiplicity 1)  4 S 3.03, 8 P 3.37
P: 0.0000 0.5000 0.5000 (multiplicity 2)  2 N 2.14
S: 0.5000 0.5000 0.0000 (multiplicity 1)  2 N 2.60
N: 0.5000 0.5000 0.5000 (multiplicity 1)  4 P 2.14

- energy (eV/atom) = -4.63
- total moment (Bohr magnetons per cell) = 0.000
- formation energy without anion corrections (kcal/mol of atoms) = 9.5
- crystal system = tetragonal
- DOS at the Fermi energy (states/eV per atom) = 0.7815
- energy relative to the lowest polymorph listed for this composition (eV/atom) = 0.0000